PBE with a Hubbard U Fe2OsPbO8, optimized geometry; symmetry = Cmmm (65); density of states at the Fermi level = 2.74 states/eV per cell; crystal system = orthorhombic; uncorrected energy = -0.48665 Ry/atom
1.0
4.694 -0.026 -0.003
-0.003 4.689 -0.005
0.004 0.007 6.485
O Os Pb Fe
8 1 1 2
Direct
0.289 0.287 0.000
0.199 0.800 0.784
0.323 0.322 0.500
0.801 0.200 0.784
0.199 0.800 0.216
0.711 0.713 0.000
0.677 0.678 0.500
0.801 0.200 0.216
0.000 0.000 0.000
0.000 0.000 0.500
0.500 0.500 0.249
0.500 0.500 0.751